A relaxed LiEr2InHg4 crystal. Source: the Alexandria database, functional GGA-PBE.

Space group ... R-3m, No. 166
Formation enthalpy at 0 K ... -40 kJ per mole of atoms
DOS(E_F) ... 3.55 states/eV per cell

Unit cell a=5.0560 b=5.0560 c=8.7346 alpha=73.18 beta=73.18 gamma=60.00
Atoms (fractional coordinates):
In 0.0000 0.0000 0.0000
Er 0.2542 0.2542 0.2374
Er 0.7458 0.7458 0.7626
Hg 0.6166 0.6166 0.1501
Hg 0.1325 0.1325 0.6025
Hg 0.8675 0.8675 0.3975
Hg 0.3834 0.3834 0.8499
Li 0.5000 0.5000 0.5000


A relaxed Dy12GaRu6 crystal. Source: the Alexandria database, functional GGA-PBE.

Space group ... R-3, No. 148
Formation enthalpy at 0 K ... -17 kJ per mole of atoms
Polymorph energy (0 for the lowest one) ... 111 meV per atom
DOS(E_F) ... 13.42 states/eV per cell

Unit cell a=8.2126 b=8.2126 c=8.2126 alpha=102.37 beta=102.37 gamma=102.37
Atoms (fractional coordinates):
Dy 0.0705 0.9210 0.3321
Dy 0.3321 0.0705 0.9210
Dy 0.9210 0.3321 0.0705
Dy 0.5860 0.4521 0.8249
Dy 0.4140 0.5479 0.1751
Dy 0.1751 0.4140 0.5479
Dy 0.4521 0.8249 0.5860
Dy 0.6679 0.9295 0.0790
Dy 0.9295 0.0790 0.6679
Dy 0.8249 0.5860 0.4521
Dy 0.5479 0.1751 0.4140
Dy 0.0790 0.6679 0.9295
Ru 0.8541 0.3866 0.6939
Ru 0.6939 0.8541 0.3866
Ru 0.3866 0.6939 0.8541
Ru 0.1459 0.6134 0.3061
Ru 0.6134 0.3061 0.1459
Ru 0.3061 0.1459 0.6134
Ga 0.0000 0.0000 0.0000


A relaxed Li2Cd5Hg5 crystal. Source: the Alexandria database, functional GGA-PBE.

Space group ... C2/m, No. 12
Formation enthalpy at 0 K ... -10 kJ per mole of atoms
Polymorph energy (0 for the lowest one) ... 0 meV per atom
DOS(E_F) ... 3.20 states/eV per cell

Unit cell a=4.8433 b=7.9709 c=8.7444 alpha=122.72 beta=90.00 gamma=107.69
Atoms (fractional coordinates):
Cd 0.3166 0.6333 0.6534
Cd 0.5912 0.1824 0.9232
Cd 0.4088 0.8176 0.0768
Cd 0.5000 0.0000 0.5000
Cd 0.6834 0.3667 0.3466
Li 0.1534 0.3067 0.7931
Li 0.8466 0.6933 0.2069
Hg 0.2482 0.4964 0.1949
Hg 0.7518 0.5036 0.8051
Hg 0.0773 0.1547 0.4048
Hg 0.0000 0.0000 0.0000
Hg 0.9227 0.8453 0.5952


A relaxed YTi2BRu crystal. Source: the Alexandria database, functional GGA-PBE.

Space group ... P4/mmm, No. 123
Formation enthalpy at 0 K ... -12 kJ per mole of atoms
DOS(E_F) ... 7.97 states/eV per cell

Unit cell a=4.4973 b=4.1334 c=4.4973 alpha=90.00 beta=90.00 gamma=90.00
Atoms (fractional coordinates):
B 0.0000 0.0000 0.0000
Y 0.5000 0.5000 0.5000
Ru 0.0000 0.5000 0.0000
Ti 0.0000 0.0000 0.5000
Ti 0.5000 0.0000 0.0000


A relaxed La5Pm5Ho2 crystal. Source: the Alexandria database, functional GGA-PBE.

Space group ... C2/m, No. 12
Formation enthalpy at 0 K ... 2 kJ per mole of atoms
DOS(E_F) ... 20.88 states/eV per cell

Unit cell a=5.2021 b=10.9520 c=8.2426 alpha=98.78 beta=71.61 gamma=76.26
Atoms (fractional coordinates):
Ho 0.3320 0.5002 0.8359
Ho 0.6680 0.4998 0.1641
Pm 0.6676 0.9996 0.6652
Pm 0.3307 0.2548 0.0839
Pm 0.0000 0.5000 0.5000
Pm 0.6693 0.7452 0.9161
Pm 0.3324 0.0004 0.3348
La 0.0043 0.7463 0.2451
La 0.3349 0.7465 0.5836
La 0.6651 0.2535 0.4164
La 0.0000 0.0000 0.0000
La 0.9957 0.2537 0.7549


A relaxed UAsP2 crystal. Source: the Alexandria database, functional GGA-PBE.

Space group ... P4/mmm, No. 123
Formation enthalpy at 0 K ... -40 kJ per mole of atoms
Polymorph energy (0 for the lowest one) ... 0 meV per atom
DOS(E_F) ... 4.74 states/eV per cell

Unit cell a=3.7763 b=4.2803 c=4.2803 alpha=90.00 beta=90.00 gamma=90.00
Atoms (fractional coordinates):
P 0.0000 0.0000 0.5000
P 0.0000 0.5000 0.0000
As 0.5000 0.0000 0.0000
U 0.5000 0.5000 0.5000


A relaxed PmIn3Rh crystal. Source: the Alexandria database, functional GGA-PBE.

Space group ... Amm2, No. 38
Formation enthalpy at 0 K ... -45 kJ per mole of atoms
Polymorph energy (0 for the lowest one) ... 31 meV per atom
DOS(E_F) ... 1.99 states/eV per cell

Unit cell a=4.7453 b=4.7924 c=5.8535 alpha=114.16 beta=90.00 gamma=90.00
Atoms (fractional coordinates):
Rh 0.5000 0.3799 0.7599
Pm 0.5000 0.0469 0.0938
In 0.5000 0.7491 0.4982
In 0.0000 0.5337 0.0675
In 0.0000 0.2504 0.5008


A relaxed Tm6AsC2S3 crystal. Source: the Alexandria database, functional GGA-PBE.

Space group ... C2/m, No. 12
DOS(E_F) ... 2.32 states/eV per cell
E_form (uncorrected) ... -140.3 kJ/mol of atoms

Unit cell a=3.7528 b=7.7081 c=8.5120 alpha=103.51 beta=102.73 gamma=90.00
Atoms (fractional coordinates):
Tm 0.6770 0.5637 0.3540
Tm 0.6715 0.1207 0.3429
Tm 0.3230 0.4363 0.6460
Tm 0.3285 0.8793 0.6571
Tm 0.0170 0.2630 0.0339
Tm 0.9830 0.7370 0.9661
S 0.5000 0.5000 0.0000
S 0.1630 0.8327 0.3259
S 0.8370 0.1673 0.6741
C 0.8303 0.6613 0.6605
C 0.1697 0.3387 0.3395
As 0.5000 0.0000 0.0000


A relaxed MgAl2P2H18O18 crystal. Source: the Alexandria database, functional GGA-PBE.

Space group ... P-1, No. 2
DOS(E_F) ... 0.00 states/eV per cell

Unit cell a=5.2670 b=6.9915 c=10.2905 alpha=96.61 beta=101.58 gamma=110.39
Atoms (fractional coordinates):
O 0.1885 0.9602 0.3496
O 0.2465 0.3146 0.0078
O 0.6453 0.2905 0.5035
O 0.0870 0.5121 0.8058
O 0.9062 0.0951 0.1822
O 0.2863 0.0444 0.6271
O 0.6700 0.0519 0.8874
O 0.9130 0.4879 0.1942
O 0.3547 0.7095 0.4965
O 0.0938 0.9049 0.8178
O 0.3300 0.9481 0.1126
O 0.5458 0.5443 0.3165
O 0.8742 0.7006 0.5749
O 0.8115 0.0398 0.6504
O 0.7535 0.6854 0.9922
O 0.1258 0.2994 0.4251
O 0.4542 0.4557 0.6835
O 0.7137 0.9556 0.3729
Al 0.5000 0.0000 0.5000
Al 0.5000 0.5000 0.5000
H 0.6943 0.0530 0.7941
H 0.3255 0.4076 0.0966
H 0.6121 0.7011 0.3273
H 0.0903 0.5722 0.2613
H 0.5353 0.9988 0.1241
H 0.1803 0.3940 0.9442
H 0.9097 0.3424 0.1816
H 0.9097 0.4278 0.7387
H 0.4647 0.0012 0.8759
H 0.0903 0.6576 0.8184
H 0.8315 0.3255 0.4853
H 0.3879 0.2989 0.6727
H 0.3057 0.9470 0.2059
H 0.3118 0.4928 0.7227
H 0.6882 0.5072 0.2773
H 0.1685 0.6745 0.5147
H 0.6745 0.5924 0.9034
H 0.8197 0.6060 0.0558
Mg 0.0000 0.0000 0.0000
P 0.0130 0.9211 0.6670
P 0.9870 0.0789 0.3330


A relaxed CsSn2Hg4 crystal. Source: the Alexandria database, functional GGA-PBE.

Space group ... Cmmm, No. 65
Formation enthalpy at 0 K ... -8 kJ per mole of atoms
DOS(E_F) ... 3.59 states/eV per cell

Unit cell a=5.7660 b=5.2828 c=7.9379 alpha=109.44 beta=90.00 gamma=90.00
Atoms (fractional coordinates):
Sn 0.5000 0.4016 0.8033
Sn 0.5000 0.5984 0.1967
Hg 0.5000 0.8199 0.6399
Hg 0.0000 0.3018 0.6036
Hg 0.0000 0.6982 0.3964
Hg 0.5000 0.1801 0.3601
Cs 0.0000 0.0000 0.0000


A relaxed Be2FeHg crystal. Source: the Alexandria database, functional GGA-PBE.

Space group ... I-4m2, No. 119
Formation enthalpy at 0 K ... 35 kJ per mole of atoms
DOS(E_F) ... 2.43 states/eV per cell

Unit cell a=4.7612 b=4.7612 c=4.7612 alpha=137.38 beta=137.38 gamma=61.86
Atoms (fractional coordinates):
Hg 0.7500 0.2500 0.5000
Be 0.2500 0.7500 0.5000
Be 0.0000 0.0000 0.0000
Fe 0.5000 0.5000 0.0000


A relaxed Pm3Hf crystal. Source: the Alexandria database, functional GGA-PBE.

Space group ... Pmm2, No. 25
Formation enthalpy at 0 K ... 30 kJ per mole of atoms
Polymorph energy (0 for the lowest one) ... 136 meV per atom
DOS(E_F) ... 5.90 states/eV per cell

Unit cell a=3.3671 b=3.3819 c=11.1278 alpha=90.00 beta=90.00 gamma=90.00
Atoms (fractional coordinates):
Hf 0.0000 0.0000 0.9713
Pm 0.5000 0.5000 0.1756
Pm 0.5000 0.0000 0.7171
Pm 0.0000 0.5000 0.4693


A relaxed PuSiPb crystal. Source: the Alexandria database, functional GGA-PBE.

Space group ... Cmcm, No. 63
DOS(E_F) ... 7.72 states/eV per cell
E_form (uncorrected) ... 12.4 kJ/mol of atoms

Unit cell a=3.5240 b=4.7674 c=9.1880 alpha=74.96 beta=90.00 gamma=90.00
Atoms (fractional coordinates):
Si 0.2500 0.5477 0.9046
Si 0.7500 0.4523 0.0954
Pb 0.2500 0.7042 0.5917
Pb 0.7500 0.2958 0.4083
Pu 0.2500 0.9575 0.0851
Pu 0.7500 0.0425 0.9149


A relaxed NaAcInAg crystal. Source: the Alexandria database, functional GGA-PBE.

Space group ... F-43m, No. 216
Formation enthalpy at 0 K ... -18 kJ per mole of atoms
DOS(E_F) ... 1.66 states/eV per cell

Unit cell a=5.3205 b=5.3205 c=5.3205 alpha=60.00 beta=60.00 gamma=60.00
Atoms (fractional coordinates):
Na 0.7500 0.7500 0.7500
Ag 0.2500 0.2500 0.2500
In 0.5000 0.5000 0.5000
Ac 0.0000 0.0000 0.0000


A relaxed SmDyP2O8 crystal. Source: the Alexandria database, functional GGA-PBE.

Space group ... P-3m1, No. 164
DOS(E_F) ... 0.00 states/eV per cell
E_form (uncorrected) ... -279.0 kJ/mol of atoms

Unit cell a=5.2655 b=5.2655 c=7.0775 alpha=90.00 beta=90.00 gamma=120.00
Atoms (fractional coordinates):
O 0.6537 0.8263 0.7247
O 0.6667 0.3333 0.9841
O 0.3463 0.1737 0.2753
O 0.8273 0.6537 0.2753
O 0.1737 0.8273 0.7247
O 0.1727 0.3463 0.7247
O 0.3333 0.6667 0.0159
O 0.8263 0.1727 0.2753
P 0.3333 0.6667 0.8003
P 0.6667 0.3333 0.1997
Sm 0.0000 0.0000 0.0000
Dy 0.0000 0.0000 0.5000


A relaxed SrHfCd crystal. Source: the Alexandria database, functional GGA-PBE.

Space group ... Pmmn, No. 59
Formation enthalpy at 0 K ... 12 kJ per mole of atoms
Polymorph energy (0 for the lowest one) ... 14 meV per atom
DOS(E_F) ... 4.86 states/eV per cell

Unit cell a=11.5512 b=4.3061 c=3.4842 alpha=90.00 beta=89.99 gamma=90.00
Atoms (fractional coordinates):
Sr 0.0894 0.4478 0.3662
Sr 0.5744 0.9478 0.8664
Cd 0.3973 0.4477 0.3660
Cd 0.2664 0.9476 0.8656
Hf 0.7809 0.4478 0.3663
Hf 0.8829 0.9478 0.8663


A relaxed Sc6CuOs5 crystal. Source: the Alexandria database, functional GGA-PBE.

Space group ... P2/m, No. 10
Formation enthalpy at 0 K ... -35 kJ per mole of atoms
DOS(E_F) ... 11.65 states/eV per cell

Unit cell a=4.5626 b=6.4683 c=7.1987 alpha=90.00 beta=71.61 gamma=90.00
Atoms (fractional coordinates):
Sc 0.5000 0.2553 0.0000
Sc 0.8307 0.2516 0.3382
Sc 0.1693 0.7484 0.6618
Sc 0.5000 0.7447 0.0000
Sc 0.8307 0.7484 0.3382
Sc 0.1693 0.2516 0.6618
Os 0.3351 0.0000 0.3297
Os 0.0000 0.5000 0.0000
Os 0.6664 0.5000 0.6678
Os 0.6649 0.0000 0.6703
Os 0.3336 0.5000 0.3322
Cu 0.0000 0.0000 0.0000


A relaxed NpZnRu crystal. Source: the Alexandria database, functional GGA-PBE.

Space group ... Immm, No. 71
Formation enthalpy at 0 K ... -4 kJ per mole of atoms
DOS(E_F) ... 13.38 states/eV per cell

Unit cell a=4.2717 b=4.9792 c=6.1547 alpha=113.86 beta=110.31 gamma=90.00
Atoms (fractional coordinates):
Np 0.1909 0.1909 0.3818
Np 0.8091 0.8091 0.6182
Ru 0.8701 0.3701 0.7402
Ru 0.1299 0.6299 0.2598
Zn 0.5000 0.7471 0.0000
Zn 0.5000 0.2529 0.0000


A relaxed YSb crystal. Source: the Alexandria database, functional GGA-PBE.

Space group ... F-43m, No. 216
E_form (uncorrected) ... -60.2 kJ/mol of atoms

Unit cell a=6.9544 b=6.9544 c=6.9544 alpha=90.00 beta=90.00 gamma=90.00
Atoms (fractional coordinates):
Y 0.7500 0.2500 0.7500
Y 0.7500 0.7500 0.2500
Y 0.2500 0.7500 0.7500
Y 0.2500 0.2500 0.2500
Sb 0.0000 0.5000 0.5000
Sb 0.0000 0.0000 0.0000
Sb 0.5000 0.0000 0.5000
Sb 0.5000 0.5000 0.0000


A relaxed Ag2POs crystal. Source: the Alexandria database, functional GGA-PBE.

Space group ... I-4m2, No. 119
Formation enthalpy at 0 K ... 67 kJ per mole of atoms
DOS(E_F) ... 2.80 states/eV per cell

Unit cell a=4.4556 b=4.4556 c=4.4556 alpha=120.11 beta=120.11 gamma=89.81
Atoms (fractional coordinates):
P 0.7500 0.2500 0.5000
Ag 0.2500 0.7500 0.5000
Ag 0.0000 0.0000 0.0000
Os 0.5000 0.5000 0.0000


A relaxed MnSb2I crystal. Source: the Alexandria database, functional GGA-PBE.

Space group ... I-42d, No. 122
Polymorph energy (0 for the lowest one) ... 0 meV per atom
DOS(E_F) ... 8.73 states/eV per cell
E_form (uncorrected) ... 45.1 kJ/mol of atoms

Unit cell a=6.6171 b=6.6171 c=7.7617 alpha=64.77 beta=64.77 gamma=90.00
Atoms (fractional coordinates):
I 0.7500 0.2500 0.5000
I 0.0000 0.0000 0.0000
Mn 0.2500 0.7500 0.5000
Mn 0.5000 0.5000 0.0000
Sb 0.4983 0.1250 0.2500
Sb 0.8750 0.7483 0.7500
Sb 0.3750 0.5017 0.7500
Sb 0.2517 0.6250 0.2500


A relaxed Ca2La6Sm crystal. Source: the Alexandria database, functional GGA-PBE.

Space group ... P-6m2, No. 187
Formation enthalpy at 0 K ... 17 kJ per mole of atoms
DOS(E_F) ... 16.30 states/eV per cell

Unit cell a=3.7177 b=3.7177 c=34.3600 alpha=90.00 beta=90.00 gamma=120.00
Atoms (fractional coordinates):
La 0.0000 0.0000 0.3621
La 0.3333 0.6667 0.9130
La 0.3333 0.6667 0.0870
La 0.0000 0.0000 0.8248
La 0.0000 0.0000 0.6379
La 0.0000 0.0000 0.1752
Ca 0.3333 0.6667 0.2705
Ca 0.3333 0.6667 0.7295
Sm 0.0000 0.0000 0.0000


A relaxed LiP3C crystal. Source: the Alexandria database, functional GGA-PBE.

Space group ... Pm-3m, No. 221
Formation enthalpy at 0 K ... 193 kJ per mole of atoms
Polymorph energy (0 for the lowest one) ... 1053 meV per atom
DOS(E_F) ... 3.23 states/eV per cell

Unit cell a=4.1911 b=4.1911 c=4.1911 alpha=90.00 beta=90.00 gamma=90.00
Atoms (fractional coordinates):
P 0.0000 0.0000 0.5000
P 0.5000 0.0000 0.0000
P 0.0000 0.5000 0.0000
Li 0.0000 0.0000 0.0000
C 0.5000 0.5000 0.5000


Record-wise total DFT energy (no corrections) values, in Ry/atom: -0.1679; -0.4538; -0.0685; -0.5707; -0.3509; -0.5221; -0.3332; -0.4885; -0.4220; -0.1116; -0.2713; -0.4216; -0.5654; -0.2161; -0.5789; -0.2982; -0.6281; -0.5785; -0.4349; -0.3593; -0.3141; -0.2994; -0.2554